[1]
Material: HoPaPbAu
Method: DFT, PBE-GGA
State: optimized geometry Values from VASP.

## Properties
**Magnetic moment**: 2.6 μB per formula unit

Geometry as Quantum ESPRESSO input:
```
&SYSTEM
  ibrav = 0, nat = 4, ntyp = 4
/
ATOMIC_SPECIES
Pb 207.20 Pb.upf
Pa 231.04 Pa.upf
Au 196.97 Au.upf
Ho 164.93 Ho.upf
CELL_PARAMETERS angstrom
-2.837 -4.440 0.315
-1.419 -2.543 -4.402
2.215 -4.639 -1.199
ATOMIC_POSITIONS angstrom
Pb -1.021 -5.811 -2.643
Pa -1.531 -8.716 -3.965
Au 0.000 0.000 0.000
Ho -0.510 -2.905 -1.322
```

[2]
Material: CeU2Pt9
Method: DFT, PBE-GGA
State: optimized geometry Values from VASP.

## Properties
**Magnetic moment**: 3.6 μB per formula unit

Geometry as Quantum ESPRESSO input:
```
&SYSTEM
  ibrav = 0, nat = 12, ntyp = 3
/
ATOMIC_SPECIES
Ce 140.12 Ce.upf
U 238.03 U.upf
Pt 195.08 Pt.upf
CELL_PARAMETERS angstrom
-3.590 1.886 -0.963
-1.289 -3.451 -1.951
-5.045 -4.152 10.675
ATOMIC_POSITIONS angstrom
Ce 0.000 0.000 0.000
U -1.682 -1.384 3.559
U -3.363 -2.768 7.116
Pt -2.439 -0.782 -1.457
Pt -4.126 -2.170 2.111
Pt -5.798 -3.547 5.650
Pt -2.644 0.244 1.315
Pt -4.318 -1.133 4.856
Pt -5.991 -2.510 8.397
Pt -1.494 -2.424 0.821
Pt -3.167 -3.801 4.362
Pt -4.840 -5.178 7.903
```

[3]
Material: TbCePm2Co2
Method: DFT, PBE-GGA
State: optimized geometry Values from VASP.

## Properties
**Magnetic moment**: 0.0 μB per formula unit

Geometry as Quantum ESPRESSO input:
```
&SYSTEM
  ibrav = 0, nat = 12, ntyp = 4
/
ATOMIC_SPECIES
Tb 158.93 Tb.upf
Ce 140.12 Ce.upf
Pm 145.00 Pm.upf
Co 58.93 Co.upf
CELL_PARAMETERS angstrom
6.717 0.000 0.000
0.000 6.856 0.000
-3.359 -3.428 6.413
ATOMIC_POSITIONS angstrom
Tb 1.679 0.000 0.000
Tb 5.038 0.000 0.000
Ce 5.038 3.428 0.000
Ce 1.679 3.428 0.000
Pm 3.359 4.865 2.566
Pm 0.000 1.991 2.566
Pm 3.359 1.437 3.847
Pm 0.000 -1.437 3.847
Co 0.000 1.468 5.225
Co 3.359 1.960 1.187
Co 0.000 4.896 1.187
Co 3.359 -1.468 5.225
```

[4]
Material: LiAl4Hg
Method: DFT, PBE-GGA
State: optimized geometry Values from VASP.

## Properties
**Magnetic moment**: 0.0 μB per formula unit

Geometry as Quantum ESPRESSO input:
```
&SYSTEM
  ibrav = 0, nat = 6, ntyp = 3
/
ATOMIC_SPECIES
Li 6.94 Li.upf
Al 26.98 Al.upf
Hg 200.59 Hg.upf
CELL_PARAMETERS angstrom
-1.762 -3.902 -3.412
-5.316 -0.334 -1.266
-1.705 1.328 -5.030
ATOMIC_POSITIONS angstrom
Li 0.000 0.000 0.000
Al -4.173 -3.053 -5.350
Al -4.144 -0.419 -6.165
Al -5.963 -1.256 -4.269
Al -3.285 -1.088 -3.632
Hg -6.587 -2.181 -7.281
```

[5]
Material: SrGaGeH
Method: DFT, PBE-GGA
State: optimized geometry Values from VASP.

## Properties
**Magnetic moment**: 0.0 μB per formula unit

Geometry as Quantum ESPRESSO input:
```
&SYSTEM
  ibrav = 0, nat = 4, ntyp = 4
/
ATOMIC_SPECIES
Sr 87.62 Sr.upf
Ge 72.64 Ge.upf
Ga 69.72 Ga.upf
H 1.01 H.upf
CELL_PARAMETERS angstrom
-0.704 -1.061 4.057
-1.818 -2.235 -3.128
3.944 -3.050 -0.113
ATOMIC_POSITIONS angstrom
Sr -1.445 -1.844 -0.733
Ge 1.722 -1.332 -0.049
Ga 1.125 -3.154 1.599
H 2.516 -4.230 1.560
```

[6]
Material: LaYAlTl
Method: DFT, PBE-GGA
State: optimized geometry Values from VASP.

## Properties
**Magnetic moment**: 0.0 μB per formula unit

Geometry as Quantum ESPRESSO input:
```
&SYSTEM
  ibrav = 0, nat = 4, ntyp = 4
/
ATOMIC_SPECIES
Y 88.91 Y.upf
Tl 204.38 Tl.upf
Al 26.98 Al.upf
La 138.91 La.upf
CELL_PARAMETERS angstrom
5.391 0.000 0.000
2.695 4.669 0.000
2.695 1.556 4.402
ATOMIC_POSITIONS angstrom
Y 8.086 4.669 3.301
Tl 0.000 0.000 0.000
Al 5.391 3.112 2.201
La 2.695 1.556 1.100
```

[7]
Material: NiP5
Method: DFT, PBE-GGA
State: optimized geometry Values from VASP.

## Properties
**Magnetic moment**: 0.0 μB per formula unit

Geometry as Quantum ESPRESSO input:
```
&SYSTEM
  ibrav = 0, nat = 6, ntyp = 2
/
ATOMIC_SPECIES
Ni 58.69 Ni.upf
P 30.97 P.upf
CELL_PARAMETERS angstrom
-2.390 -1.139 4.645
-0.754 -3.357 4.093
5.680 3.128 4.266
ATOMIC_POSITIONS angstrom
Ni 5.358 2.935 4.086
P 0.696 -0.531 4.194
P 2.193 -0.553 8.717
P -0.652 -1.834 5.431
P 0.517 -2.473 11.461
P -0.926 -1.420 2.956
```

[8]
Material: PtWAu2
Method: DFT, PBE-GGA
State: optimized geometry Values from VASP.

## Properties
**Magnetic moment**: 0.0 μB per formula unit

Geometry as Quantum ESPRESSO input:
```
&SYSTEM
  ibrav = 0, nat = 4, ntyp = 3
/
ATOMIC_SPECIES
Au 196.97 Au.upf
Pt 195.08 Pt.upf
W 183.84 W.upf
CELL_PARAMETERS angstrom
5.192 -0.018 0.000
-2.322 4.643 0.000
0.000 0.000 2.799
ATOMIC_POSITIONS angstrom
Au 0.000 0.000 0.000
Au 1.435 2.313 0.000
Pt 2.596 -0.009 1.399
W -1.161 2.322 1.399
```

[9]
Material: Na3B2O4
Method: DFT, PBE-GGA
State: optimized geometry Values from VASP.

## Properties
**Raw formation energy**: -1806 meV/atom
**Magnetic moment**: 0.0 μB per formula unit

Geometry as Quantum ESPRESSO input:
```
&SYSTEM
  ibrav = 0, nat = 9, ntyp = 3
/
ATOMIC_SPECIES
Na 22.99 Na.upf
B 10.81 B.upf
O 16.00 O.upf
CELL_PARAMETERS angstrom
-0.414 -3.408 0.190
3.802 1.552 4.995
-7.354 0.826 -1.196
ATOMIC_POSITIONS angstrom
Na -5.110 -1.095 0.341
Na 0.000 0.000 0.000
Na 1.144 0.065 3.649
B -1.149 -1.444 2.705
B -2.817 0.414 1.284
O -0.029 -1.617 2.037
O -3.937 0.587 1.952
O -1.669 -1.314 3.894
O -2.298 0.284 0.096
```

[10]
Material: SbTe2Br
Method: DFT, PBE-GGA
State: optimized geometry Values from VASP.

## Properties
**Raw formation energy**: 223 meV/atom
**Magnetic moment**: 0.0 μB per formula unit

Geometry as Quantum ESPRESSO input:
```
&SYSTEM
  ibrav = 0, nat = 4, ntyp = 3
/
ATOMIC_SPECIES
Sb 121.76 Sb.upf
Te 127.60 Te.upf
Br 79.90 Br.upf
CELL_PARAMETERS angstrom
1.973 0.000 11.242
-0.987 1.709 11.242
-0.987 -1.709 11.242
ATOMIC_POSITIONS angstrom
Sb 0.000 0.000 0.000
Te 0.000 0.000 30.701
Te 0.000 0.000 3.023
Br 0.000 0.000 16.862
```

[11]
Material: Tm2Al8Au
Method: DFT, PBE-GGA
State: optimized geometry Values from VASP.

## Properties
**Magnetic moment**: 0.0 μB per formula unit

Geometry as Quantum ESPRESSO input:
```
&SYSTEM
  ibrav = 0, nat = 11, ntyp = 3
/
ATOMIC_SPECIES
Tm 168.93 Tm.upf
Al 26.98 Al.upf
Au 196.97 Au.upf
CELL_PARAMETERS angstrom
4.292 0.000 0.000
0.000 4.292 0.000
0.000 0.000 11.270
ATOMIC_POSITIONS angstrom
Tm 0.000 0.000 3.576
Tm 0.000 0.000 7.694
Al 0.000 2.146 5.635
Al 2.146 0.000 5.635
Al 2.146 2.146 3.469
Al 2.146 2.146 7.801
Al 0.000 2.146 1.504
Al 2.146 0.000 1.504
Al 0.000 2.146 9.766
Al 2.146 0.000 9.766
Au 0.000 0.000 0.000
```

[12]
Material: KLiZr2
Method: DFT, PBE-GGA
State: optimized geometry Values from VASP.

## Properties
**Magnetic moment**: 0.0 μB per formula unit

Geometry as Quantum ESPRESSO input:
```
&SYSTEM
  ibrav = 0, nat = 4, ntyp = 3
/
ATOMIC_SPECIES
K 39.10 K.upf
Li 6.94 Li.upf
Zr 91.22 Zr.upf
CELL_PARAMETERS angstrom
6.944 -0.004 0.000
-4.575 5.224 0.000
0.000 0.000 2.992
ATOMIC_POSITIONS angstrom
K 3.472 -0.002 1.496
Li -2.287 2.612 1.496
Zr 0.000 0.000 0.000
Zr 1.185 2.610 0.000
```

[13]
Material: Tm5AgPt4
Method: DFT, PBE-GGA
State: optimized geometry Values from VASP.

## Properties
**Magnetic moment**: 0.0 μB per formula unit

Geometry as Quantum ESPRESSO input:
```
&SYSTEM
  ibrav = 0, nat = 10, ntyp = 3
/
ATOMIC_SPECIES
Tm 168.93 Tm.upf
Ag 107.87 Ag.upf
Pt 195.08 Pt.upf
CELL_PARAMETERS angstrom
3.479 0.000 0.000
0.000 3.479 0.000
0.000 0.000 17.347
ATOMIC_POSITIONS angstrom
Tm 1.740 1.740 1.891
Tm 1.740 1.740 5.277
Tm 1.740 1.740 8.673
Tm 1.740 1.740 12.069
Tm 1.740 1.740 15.455
Ag 0.000 0.000 0.000
Pt 0.000 0.000 3.527
Pt 0.000 0.000 6.966
Pt 0.000 0.000 10.381
Pt 0.000 0.000 13.820
```

What did we get for E? Answer: -21.856, -92.528, -34.911, -16.698, -14.638, -18.968, -31.618, -24.078, -53.399, -11.188, -46.103, -17.106, -60.398 eV per formula unit, in the order shown.